MnRu2F11 after structural relaxation. Source: Alexandria, functional PBE with a Hubbard U.

Calculated density: 3.948 g/cm³
Space group: No. 72
Crystal system: orthorhombic
Total energy: -5.17 eV per atom
Spin magnetization: 20.00 μB/cell

Cell and atoms, written as CIF:
```
data_MnRu2F11
_chemical_formula_sum 'Mn2 Ru4 F22'
_cell_length_a 8.024
_cell_length_b 8.024
_cell_length_c 8.024
_cell_angle_alpha 114.35
_cell_angle_beta 112.75
_cell_angle_gamma 101.59
_space_group_name_H-M_alt 'P 1'
_space_group_IT_number 1
loop_
_space_group_symop_operation_xyz
'x,y,z'
loop_
_atom_site_label
_atom_site_fract_x
_atom_site_fract_y
_atom_site_fract_z
Mn1 0.250 0.250 0.000
Mn2 0.750 0.750 0.000
Ru1 0.162 0.667 0.829
Ru2 0.338 0.167 0.506
Ru3 0.662 0.833 0.494
Ru4 0.838 0.333 0.171
F1 0.000 0.500 0.500
F2 0.076 0.345 0.156
F3 0.092 0.928 0.288
F4 0.140 0.428 0.837
F5 0.189 0.920 0.844
F6 0.190 0.315 0.505
F7 0.310 0.815 0.124
F8 0.311 0.155 0.731
F9 0.360 0.197 0.288
F10 0.408 0.697 0.837
F11 0.424 0.580 0.269
F12 0.500 0.000 0.500
F13 0.576 0.420 0.731
F14 0.592 0.303 0.163
F15 0.640 0.803 0.712
F16 0.689 0.845 0.269
F17 0.690 0.185 0.876
F18 0.810 0.685 0.495
F19 0.811 0.080 0.156
F20 0.860 0.572 0.163
F21 0.908 0.072 0.712
F22 0.924 0.655 0.844
```